## PmMgGa2Ir2 (GGA-PBE)

Data for crystalline PmMgGa2Ir2 at its relaxed geometry.

The structure in extended XYZ format:
```
6
Lattice="-1.928 -2.842 -2.716 2.987 -1.403 2.878 -4.872 -1.042 4.548" Properties=species:S:1:pos:R:3 pbc="T T T"
Ga -0.117 -2.196 2.381
Ir -2.076 -2.616 4.210
Ga -3.696 -3.092 2.329
Ir -1.737 -2.672 0.500
Mg -2.436 -0.521 2.274
Pm 0.000 0.000 0.000
```

Computed properties:
ΔE_f	-0.6420	eV per atom
total DFT energy (no corrections)	-34.0	eV for the cell shown
total moment	0.000	μB/atom
D(E_F)	0.386	states/eV/atom
SG	P-3m1